No. 1
DFT (PBE-GGA) results for crystalline PrGdZn2 at its relaxed geometry.

Unit cell a=3.657 b=3.657 c=7.338 alpha=90.00 beta=90.00 gamma=90.00
Atoms (fractional coordinates):
Pr 0.000 0.000 0.500
Zn 0.500 0.500 0.236
Zn 0.500 0.500 0.764
Gd 0.000 0.000 0.000

Calculated values
formation enthalpy at 0 K: -0.3209 eV per atom
E above lowest polymorph: 3 meV per atom

***

No. 2
DFT (PBE-GGA) results for crystalline PrGdZn2 at its relaxed geometry.

Unit cell a=3.749 b=3.749 c=9.184 alpha=78.22 beta=78.22 gamma=60.00
Atoms (fractional coordinates):
Pr 0.500 0.500 0.500
Zn 0.748 0.748 0.757
Zn 0.252 0.252 0.243
Gd 0.000 0.000 0.000

Calculated values
formation enthalpy at 0 K: -0.0951 eV per atom
E above lowest polymorph: 229 meV per atom

***

No. 3
DFT (PBE-GGA) results for crystalline PrGdZn at its relaxed geometry.

Unit cell a=3.678 b=3.678 c=6.723 alpha=105.88 beta=105.88 gamma=90.00
Atoms (fractional coordinates):
Pr 0.019 0.019 0.038
Zn 0.672 0.672 0.345
Gd 0.309 0.309 0.618

Calculated values
formation enthalpy at 0 K: -0.2103 eV per atom
E above lowest polymorph: 0 meV per atom